Here is an optimized crystal structure of AcLa3P4 from the Alexandria database. Energies are from PBE.

Calculated values
Energy of formation in eV per atom: -1.535
Uncorrected energy in eV/atom: -6.601
M_tot in Bohr magnetons per cell: 0.00

```
data_AcLa3P4
_cell_length_a 6.114
_cell_length_b 6.114
_cell_length_c 6.114
_cell_angle_alpha 90.00
_cell_angle_beta 90.00
_cell_angle_gamma 90.00
_space_group_name_H-M_alt 'P m -3 m'
_space_group_IT_number 221
_space_group_name_Hall '-P 4 2 3'
loop_
_atom_site_label
_atom_site_type_symbol
_atom_site_fract_x
_atom_site_fract_y
_atom_site_fract_z
Ac1 Ac 0.000 0.000 0.000
La1 La 0.000 0.500 0.500
P1 P 0.000 0.000 0.500
P2 P 0.500 0.500 0.500
```